La12ZnIn3: relaxed, PBE.

```
data_La12ZnIn3
_chemical_formula_sum 'La12 Zn1 In3'
_symmetry_space_group_name_H-M 'P 4/m m m'
_symmetry_Int_Tables_number 123
_symmetry_space_group_name_Hall '-P 4 2'
_cell_length_a 5.6657
_cell_length_b 5.6657
_cell_length_c 16.1160
_cell_angle_alpha 90.00
_cell_angle_beta 90.00
_cell_angle_gamma 90.00
loop_
_atom_site_label
_atom_site_type_symbol
_atom_site_fract_x
_atom_site_fract_y
_atom_site_fract_z
_atom_site_occupancy
La1 La 0.0000 0.0000 0.0000 1
La2 La 0.0000 0.0000 0.2359 1
La3 La 0.0000 0.0000 0.5000 1
La4 La 0.0000 0.5000 0.1146 1
La5 La 0.0000 0.5000 0.3703 1
Zn1 Zn 0.5000 0.5000 0.0000 1
In1 In 0.5000 0.5000 0.2416 1
In2 In 0.5000 0.5000 0.5000 1
```

Results
DFT formation energy in eV/atom: -0.166
Energy in eV/atom: -4.46
D(E_F) in states/eV/cell: 19.56